Rb2LaHCl6 after structural relaxation. Source: Alexandria via LeMat-Bulk, functional PBE.

The structure in POSCAR format:
```
Rb2LaHCl6
1.0
-4.222 4.222 4.547
4.222 -4.222 4.547
4.222 4.222 -4.547
Rb La H Cl
2 1 1 6
Direct
0.250 0.750 0.500
0.750 0.250 0.500
0.000 0.000 0.000
0.500 0.500 0.000
0.228 0.228 0.457
0.228 0.772 0.000
0.326 0.326 0.000
0.674 0.674 0.000
0.772 0.228 0.000
0.772 0.772 0.543
```

## Properties
- calculated volume (Å³/cell) = 324
- total moment (μB/f.u.) = 0.0
- total DFT energy (no corrections) (Ry/atom) = -0.2867